{
  "formula": "Rb2MgAs2",
  "functional": "PBE",
  "state": "optimized geometry",
  "cell": [[7.2215, 0.0000, 0.0000], [0.0000, 7.2215, 0.0000], [0.0000, 0.0000, 5.8062]],
  "species": ["Mg", "Mg", "As", "As", "As", "As", "Rb", "Rb", "Rb", "Rb"],
  "fractional_positions": [[0.0000, 0.0000, 0.0000], [0.5000, 0.5000, 0.0000], [0.3742, 0.8742, 0.0000], [0.1258, 0.3742, 0.0000], [0.6258, 0.1258, 0.0000], [0.8742, 0.6258, 0.0000], [0.3299, 0.1701, 0.5000], [0.6701, 0.8299, 0.5000], [0.1701, 0.6701, 0.5000], [0.8299, 0.3299, 0.5000]],
  "final_energy_ev_per_atom": -2.8807,
  "total_magnetization_mub_per_cell": 0.000,
  "formation_enthalpy_0k_kj_per_mol_atoms": -30.4,
  "spacegroup": "P4/mbm",
  "density_g_cm3": 3.78
}